1.
Compound: LaPr4Dy15
Source: Alexandria via LeMat-Bulk
Functional: GGA-PBE
Structure: optimized geometry

Output
E_form: 0.44 eV per formula unit
space group: P4/mmm
calculated volume: 653.51 Å³ per cell
magnetic moment: 0.00 μB per formula unit
N(E_F): 27.54 states/eV/cell
theoretical density: 7.98 g/cm³

Lattice parameters (Å, degrees): 5.086 5.086 25.262 90.00 90.00 90.00
Atoms (fractional coordinates):
Dy: 0.500 0.000 0.700
Dy: 0.000 0.500 0.700
Dy: 0.000 0.500 0.101
Dy: 0.500 0.000 0.300
Dy: 0.500 0.500 0.800
Dy: 0.000 0.500 0.899
Dy: 0.500 0.500 0.400
Dy: 0.000 0.500 0.300
Dy: 0.500 0.000 0.899
Dy: 0.500 0.000 0.500
Dy: 0.500 0.000 0.101
Dy: 0.500 0.500 0.200
Dy: 0.500 0.500 0.000
Dy: 0.000 0.500 0.500
Dy: 0.500 0.500 0.600
Pr: 0.000 0.000 0.200
Pr: 0.000 0.000 0.400
Pr: 0.000 0.000 0.800
Pr: 0.000 0.000 0.600
La: 0.000 0.000 0.000


2.
Compound: La2PrDy7
Source: Alexandria via LeMat-Bulk
Functional: GGA-PBE
Structure: optimized geometry

Output
E_form: 0.24 eV per formula unit
energy relative to the lowest polymorph listed for this composition: 0.0 meV per atom
space group: P-1
calculated volume: 330.42 Å³ per cell
magnetic moment: 0.00 μB per formula unit
N(E_F): 14.28 states/eV/cell
theoretical density: 7.82 g/cm³

Lattice parameters (Å, degrees): 6.225 8.076 11.428 135.22 56.80 121.16
Atoms (fractional coordinates):
Pr: 0.000 0.000 0.000
La: 0.500 0.901 0.601
La: 0.500 0.099 0.399
Dy: 0.000 0.202 0.802
Dy: 0.500 0.701 0.803
Dy: 0.500 0.299 0.197
Dy: 0.001 0.599 0.398
Dy: 0.000 0.798 0.198
Dy: 0.500 0.500 0.000
Dy: 0.999 0.401 0.602


3.
Compound: La5Pr2Dy6
Source: Alexandria via LeMat-Bulk
Functional: GGA-PBE
Structure: optimized geometry

Output
E_form: 1.17 eV per formula unit
space group: Pbam
calculated volume: 905.96 Å³ per cell
magnetic moment: 0.00 μB per formula unit
N(E_F): 36.20 states/eV/cell
theoretical density: 7.15 g/cm³

Lattice parameters (Å, degrees): 3.644 11.814 21.046 90.00 90.00 90.00
Atoms (fractional coordinates):
Pr: 0.000 0.306 0.271
Pr: 0.000 0.694 0.729
Pr: 0.000 0.806 0.229
Pr: 0.000 0.194 0.771
Dy: 0.500 0.810 0.376
Dy: 0.000 0.438 0.859
Dy: 0.000 0.428 0.568
Dy: 0.000 0.572 0.432
Dy: 0.000 0.072 0.068
Dy: 0.000 0.928 0.932
Dy: 0.500 0.690 0.876
Dy: 0.000 0.562 0.141
Dy: 0.500 0.190 0.624
Dy: 0.500 0.310 0.124
Dy: 0.000 0.938 0.641
Dy: 0.000 0.062 0.359
La: 0.500 0.937 0.788
La: 0.500 0.437 0.712
La: 0.500 0.063 0.212
La: 0.500 0.302 0.435
La: 0.500 0.563 0.288
La: 0.500 0.198 0.935
La: 0.500 0.698 0.565
La: 0.500 0.802 0.065
La: 0.500 0.500 0.000
La: 0.500 0.000 0.500


> Which formula does entry 2 have?

La2PrDy7


Please write out number 1 again, unchanged.
Compound: LaPr4Dy15
Source: Alexandria via LeMat-Bulk
Functional: GGA-PBE
Structure: optimized geometry

Output
E_form: 0.44 eV per formula unit
space group: P4/mmm
calculated volume: 653.51 Å³ per cell
magnetic moment: 0.00 μB per formula unit
N(E_F): 27.54 states/eV/cell
theoretical density: 7.98 g/cm³

Lattice parameters (Å, degrees): 5.086 5.086 25.262 90.00 90.00 90.00
Atoms (fractional coordinates):
Dy: 0.500 0.000 0.700
Dy: 0.000 0.500 0.700
Dy: 0.000 0.500 0.101
Dy: 0.500 0.000 0.300
Dy: 0.500 0.500 0.800
Dy: 0.000 0.500 0.899
Dy: 0.500 0.500 0.400
Dy: 0.000 0.500 0.300
Dy: 0.500 0.000 0.899
Dy: 0.500 0.000 0.500
Dy: 0.500 0.000 0.101
Dy: 0.500 0.500 0.200
Dy: 0.500 0.500 0.000
Dy: 0.000 0.500 0.500
Dy: 0.500 0.500 0.600
Pr: 0.000 0.000 0.200
Pr: 0.000 0.000 0.400
Pr: 0.000 0.000 0.800
Pr: 0.000 0.000 0.600
La: 0.000 0.000 0.000


> What is the formula in the first record?

LaPr4Dy15


Please write out number 1 again, unchanged.
Compound: LaPr4Dy15
Source: Alexandria via LeMat-Bulk
Functional: GGA-PBE
Structure: optimized geometry

Output
E_form: 0.44 eV per formula unit
space group: P4/mmm
calculated volume: 653.51 Å³ per cell
magnetic moment: 0.00 μB per formula unit
N(E_F): 27.54 states/eV/cell
theoretical density: 7.98 g/cm³

Lattice parameters (Å, degrees): 5.086 5.086 25.262 90.00 90.00 90.00
Atoms (fractional coordinates):
Dy: 0.500 0.000 0.700
Dy: 0.000 0.500 0.700
Dy: 0.000 0.500 0.101
Dy: 0.500 0.000 0.300
Dy: 0.500 0.500 0.800
Dy: 0.000 0.500 0.899
Dy: 0.500 0.500 0.400
Dy: 0.000 0.500 0.300
Dy: 0.500 0.000 0.899
Dy: 0.500 0.000 0.500
Dy: 0.500 0.000 0.101
Dy: 0.500 0.500 0.200
Dy: 0.500 0.500 0.000
Dy: 0.000 0.500 0.500
Dy: 0.500 0.500 0.600
Pr: 0.000 0.000 0.200
Pr: 0.000 0.000 0.400
Pr: 0.000 0.000 0.800
Pr: 0.000 0.000 0.600
La: 0.000 0.000 0.000